A plane-wave DFT calculation with meta-GGA SCAN was carried out for a crystal of CaGeP2 relaxed with PBEsol.

The theoretical density is 3.26 g/cm3. The calculation puts the total energy at -207.9 eV for the cell shown.

The space group is I-42d (No. 122) and the conventional cell measures 6.6876, 6.6876 and 7.9641 Å, with angles of 90.00, 90.00 and 90.00 degrees. The inequivalent atoms are Ca at (0.0000, 0.0000, 0.0000), Ge at (0.0000, 0.0000, 0.5000) and P at (0.1843, 0.7500, 0.6250).